Material: CoSnW
Method: DFT, PBE
State: optimized geometry

abc: 6.1230 6.1230 6.1230
angles: 90.00 90.00 90.00
Element x y z (fractional)
Co 0.0000 0.0000 0.0000
Co 0.0000 0.5000 0.5000
Co 0.5000 0.0000 0.5000
Co 0.5000 0.5000 0.0000
Sn 0.0000 0.0000 0.5000
Sn 0.0000 0.5000 0.0000
Sn 0.5000 0.0000 0.0000
Sn 0.5000 0.5000 0.5000
W 0.2500 0.2500 0.2500
W 0.2500 0.7500 0.7500
W 0.7500 0.2500 0.7500
W 0.7500 0.7500 0.2500

Calculated values
SG: F-43m, No. 216
Excess energy over the best structure of this formula in the dataset (meV/atom): 578.7

Material: Co2Sn3W2
Method: DFT, PBE
State: optimized geometry

abc: 7.9246 7.9246 7.9246
angles: 32.88 32.88 32.88
Element x y z (fractional)
Co 0.0000 0.0000 0.0000
Co 0.4802 0.4802 0.4802
Sn 0.1185 0.1185 0.1185
Sn 0.3587 0.3587 0.3587
Sn 0.8781 0.8781 0.8781
W 0.2417 0.2417 0.2417
W 0.7372 0.7372 0.7372

Calculated values
SG: R3m, No. 160
Final energy (eV per atom): -6.59

Material: CoSn2W
Method: DFT, PBE
State: optimized geometry

abc: 6.6270 6.6270 6.6270
angles: 90.00 90.00 90.00
Element x y z (fractional)
Co 0.0000 0.0000 0.0000
Co 0.0000 0.5000 0.5000
Co 0.5000 0.0000 0.5000
Co 0.5000 0.5000 0.0000
Sn 0.0000 0.0000 0.5000
Sn 0.0000 0.5000 0.0000
Sn 0.2500 0.2500 0.2500
Sn 0.2500 0.7500 0.7500
Sn 0.5000 0.0000 0.0000
Sn 0.5000 0.5000 0.5000
Sn 0.7500 0.2500 0.7500
Sn 0.7500 0.7500 0.2500
W 0.2500 0.2500 0.7500
W 0.2500 0.7500 0.2500
W 0.7500 0.2500 0.2500
W 0.7500 0.7500 0.7500

Calculated values
SG: F-43m, No. 216
Final energy (eV per atom): -6.16

Material: CoSnW2
Method: DFT, PBE
State: optimized geometry

abc: 6.3241 6.3241 6.3241
angles: 90.00 90.00 90.00
Element x y z (fractional)
Co 0.0000 0.0000 0.0000
Co 0.0000 0.5000 0.5000
Co 0.5000 0.0000 0.5000
Co 0.5000 0.5000 0.0000
Sn 0.2500 0.2500 0.7500
Sn 0.2500 0.7500 0.2500
Sn 0.7500 0.2500 0.2500
Sn 0.7500 0.7500 0.7500
W 0.0000 0.0000 0.5000
W 0.0000 0.5000 0.0000
W 0.2500 0.2500 0.2500
W 0.2500 0.7500 0.7500
W 0.5000 0.0000 0.0000
W 0.5000 0.5000 0.5000
W 0.7500 0.2500 0.7500
W 0.7500 0.7500 0.2500

Calculated values
SG: F-43m, No. 216
Final energy (eV per atom): -8.82

Material: ZrCoSnW
Method: DFT, PBE
State: optimized geometry

abc: 6.5215 6.5215 6.5215
angles: 90.00 90.00 90.00
Element x y z (fractional)
Zr 0.0000 0.0000 0.0000
Zr 0.0000 0.5000 0.5000
Zr 0.5000 0.0000 0.5000
Zr 0.5000 0.5000 0.0000
Co 0.2500 0.2500 0.7500
Co 0.2500 0.7500 0.2500
Co 0.7500 0.2500 0.2500
Co 0.7500 0.7500 0.7500
Sn 0.0000 0.0000 0.5000
Sn 0.0000 0.5000 0.0000
Sn 0.5000 0.0000 0.0000
Sn 0.5000 0.5000 0.5000
W 0.2500 0.2500 0.2500
W 0.2500 0.7500 0.7500
W 0.7500 0.2500 0.7500
W 0.7500 0.7500 0.2500

Calculated values
SG: F-43m, No. 216
Excess energy over the best structure of this formula in the dataset (meV/atom): 0.0

Material: Y2CoSn6
Method: DFT, PBE
State: optimized geometry

abc: 11.6482 11.6482 4.4372
angles: 90.00 90.00 158.52
Element x y z (fractional)
Y 0.1778 0.8222 0.0000
Y 0.8222 0.1778 0.0000
Co 0.5000 0.5000 0.5000
Sn 0.0684 0.9316 0.5000
Sn 0.2947 0.7053 0.5000
Sn 0.4323 0.5677 0.0000
Sn 0.5677 0.4323 0.0000
Sn 0.7053 0.2947 0.5000
Sn 0.9316 0.0684 0.5000

Calculated values
SG: Cmmm, No. 65
Final energy (eV per atom): -5.33

Material: Y2CoSn
Method: DFT, PBE
State: optimized geometry

abc: 3.8249 4.4065 11.2570
angles: 90.00 90.00 90.00
Element x y z (fractional)
Y 0.0000 0.0000 0.0000
Y 0.0000 0.5000 0.5000
Y 0.5000 0.0000 0.2984
Y 0.5000 0.5000 0.7984
Co 0.0000 0.0000 0.7548
Co 0.0000 0.5000 0.2548
Sn 0.5000 0.0000 0.5963
Sn 0.5000 0.5000 0.0963

Calculated values
SG: Amm2, No. 38
Final energy (eV per atom): -6.41

Material: Y2CoSn
Method: DFT, PBE
State: optimized geometry

abc: 7.0015 7.0015 7.0015
angles: 90.00 90.00 90.00
Element x y z (fractional)
Y 0.0000 0.0000 0.0000
Y 0.0000 0.5000 0.5000
Y 0.2500 0.2500 0.2500
Y 0.2500 0.7500 0.7500
Y 0.5000 0.0000 0.5000
Y 0.5000 0.5000 0.0000
Y 0.7500 0.2500 0.7500
Y 0.7500 0.7500 0.2500
Co 0.2500 0.2500 0.7500
Co 0.2500 0.7500 0.2500
Co 0.7500 0.2500 0.2500
Co 0.7500 0.7500 0.7500
Sn 0.0000 0.0000 0.5000
Sn 0.0000 0.5000 0.0000
Sn 0.5000 0.0000 0.0000
Sn 0.5000 0.5000 0.5000

Calculated values
SG: F-43m, No. 216
Final energy (eV per atom): -6.02